Entry 1:
10
Lattice="-0.1627 3.5811 -7.3870 0.5873 -7.3644 -3.5832 -2.4570 -0.1798 -0.0331" Properties=species:S:1:pos:R:3 comment="Na2B2As GGA-PBE relaxed" final_energy_ev_per_cell=-27.44 relative_energy_ev_per_atom=0.810 e_form_ev_per_atom=1.384 pbc="T T T"
Na 0.4512 -5.0863 -5.8628
Na 0.2276 -1.5117 -8.6883
Na -0.0267 1.3030 -5.1073
Na 0.1970 -2.2715 -2.2818
As 0.0000 0.0000 0.0000
As 0.2123 -1.8916 -5.4851
B -0.8628 -4.4144 -3.6705
B -0.8499 -3.8056 -7.9390
B -1.1697 0.4513 -7.3327
B -1.1825 -0.1576 -3.0643

=====

Entry 2:
10
Lattice="-6.0571 2.5181 -1.6030 -2.4461 -6.2655 -0.5995 -0.8006 0.0201 3.0565" Properties=species:S:1:pos:R:3 comment="Nb2Fe2Ir GGA-PBE relaxed" final_energy_ev_per_cell=-93.24 e_form_ev_per_atom=-0.138 pbc="T T T"
Nb -3.1787 -3.8082 0.8256
Nb -6.5355 -3.3897 -0.0563
Nb -6.1251 0.0809 0.0283
Nb -2.7683 -0.3376 0.9103
Ir 0.0000 0.0000 0.0000
Ir -4.2516 -1.8737 -1.1013
Fe -4.4521 -4.5558 -1.1361
Fe -6.8459 -1.6709 -1.7821
Fe -4.0511 0.8084 -1.0664
Fe -1.6573 -2.0765 -0.4204

=====

Entry 3:
20
Lattice="4.6344 0.0000 0.0000 0.0000 9.2042 0.0000 0.0000 0.0000 11.8495" Properties=species:S:1:pos:R:3 comment="CeIn3Au GGA-PBE relaxed" final_energy_ev_per_cell=-76.59 e_form_ev_per_atom=-0.344 pbc="T T T"
Ce 3.4758 7.3752 0.0798
Ce 1.1586 6.4311 6.0046
Ce 3.4758 2.7731 5.8450
Ce 1.1586 1.8290 11.7697
In 1.1586 5.2433 1.1336
In 3.4758 3.9609 10.7160
In 1.1586 0.6412 4.7912
In 3.4758 8.5630 7.0583
In 1.1586 3.6796 8.0476
In 3.4758 0.9225 2.1228
In 1.1586 8.2817 9.7267
In 3.4758 5.8158 8.3155
In 1.1586 3.3884 3.5341
In 3.4758 1.2137 9.4588
In 3.4758 5.5246 3.8019
In 1.1586 7.9905 2.3907
Au 1.1586 0.9445 7.6106
Au 1.1586 5.5466 10.1637
Au 3.4758 3.6576 1.6858
Au 3.4758 8.2597 4.2390

=====

Entry 4:
15
Lattice="-5.4451 2.9527 -4.6615 3.0758 -6.9452 -1.5467 -5.8041 0.2165 6.9173" Properties=species:S:1:pos:R:3 comment="K3Sc3VSe8 GGA-PBE relaxed" raw_formation_energy_ev_per_atom=-1.392 final_energy_ev_per_cell=-80.16 pbc="T T T"
K 0.0000 0.0000 0.0000
K 1.5379 -3.4726 -0.7734
K -1.1847 -1.9963 -3.1041
Sc -5.6246 1.5846 1.1279
Sc -4.0867 -1.8880 0.3546
Sc -1.3642 -3.3644 2.6853
V -2.9020 0.1082 3.4587
Se -1.5729 -2.8637 0.0232
Se -6.6005 -0.9123 0.6859
Se -4.3385 -1.4982 -2.3276
Se -3.8349 -2.2778 3.0367
Se -5.9452 2.1290 -1.5197
Se -2.2282 -5.9050 2.2288
Se -3.1013 0.5867 0.9149
Se -5.0721 -4.3627 -0.2058

=====

Entry 5:
6
Lattice="2.4795 -3.5457 1.4814 2.6056 -1.4977 3.4471 -3.5518 -2.8940 3.2432" Properties=species:S:1:pos:R:3 comment="BeRu GGA-PBE relaxed" final_energy_ev_per_cell=-39.92 e_form_ev_per_atom=-0.152 pbc="T T T"
Be 4.8625 -5.0218 4.9203
Be 1.0509 -5.3457 5.5023
Be 2.2176 -3.8218 3.8396
Ru 0.3449 -2.6289 2.7170
Ru 2.8582 -6.7052 6.8028
Ru -1.9046 -4.0093 4.2995

=====

Entry 6:
4
Lattice="9.8033 0.0014 0.0008 9.3935 2.8048 0.0008 9.3935 1.3731 2.4457" Properties=species:S:1:pos:R:3 comment="CdPtW2 GGA-PBE relaxed" final_energy_ev_per_cell=-31.69 e_form_ev_per_atom=0.293 pbc="T T T"
W 0.1345 0.0197 0.0115
W 14.1606 2.0700 1.2121
Pt 21.4428 3.1345 1.8355
Cd 7.1476 1.0448 0.6118

=====

Entry 7:
14
Lattice="4.5678 0.0000 1.2439 1.5359 8.0691 3.3688 0.0402 0.5425 8.8613" Properties=species:S:1:pos:R:3 comment="Ac3Zn8Hg3 GGA-PBE relaxed" final_energy_ev_per_cell=-27.59 e_form_ev_per_atom=-0.298 pbc="T T T"
Ac 3.0720 4.3058 6.7370
Ac 3.9862 1.6743 3.3799
Ac 2.1577 6.9372 10.0941
Zn 3.1273 1.0024 6.5338
Zn 3.0166 7.6092 6.9402
Zn 3.9222 5.0025 3.6147
Zn 2.2217 3.6091 9.8592
Zn 5.0553 6.7629 8.4626
Zn 1.0886 1.8486 5.0114
Zn 4.6528 4.7374 9.9407
Zn 1.4911 3.8741 3.5333
Hg 2.2839 0.0000 0.6220
Hg 1.2083 6.4206 4.5717
Hg 0.3678 2.1909 7.6583

=====

Entry 8:
4
Lattice="5.1875 0.0000 0.0000 0.0000 3.8124 -0.0590 0.0000 0.0830 5.6018" Properties=species:S:1:pos:R:3 comment="YHg2Br GGA-PBE relaxed" raw_formation_energy_ev_per_atom=-0.539 final_energy_ev_per_cell=-10.90 relative_energy_ev_per_atom=0.052 pbc="T T T"
Y 0.0000 2.4235 2.8229
Hg 0.0000 0.5572 5.4995
Hg 2.5937 0.5002 1.5152
Br 2.5937 2.4452 4.0785

=====

Entry 9:
5
Lattice="-3.2493 0.0952 3.9117 3.9097 -0.1229 3.2507 0.1421 4.6498 0.0049" Properties=species:S:1:pos:R:3 comment="VAsPtSe2 GGA-PBE relaxed" raw_formation_energy_ev_per_atom=0.866 final_energy_ev_per_cell=-22.45 relative_energy_ev_per_atom=0.399 pbc="T T T"
As 0.0711 2.3249 0.0025
Se 1.9549 -0.0615 1.6253
Se -1.6246 0.0476 1.9558
Pt 0.0000 0.0000 0.0000
V 0.4013 2.3110 3.5836

=====

Entry 10:
13
Lattice="-4.3494 3.7880 -3.8595 2.5385 -5.9654 -2.4762 -4.1656 -4.4844 6.5327" Properties=species:S:1:pos:R:3 comment="Ta4SbSe8 GGA-PBE relaxed" raw_formation_energy_ev_per_atom=-0.586 final_energy_ev_per_cell=-87.03 pbc="T T T"
Ta 0.0000 0.0000 0.0000
Ta -2.8964 -7.4672 5.2946
Ta -0.9054 -1.0887 -3.1679
Ta -2.1747 1.8940 -1.9298
Sb -0.8136 -5.2249 2.0283
Se -1.0581 -3.5398 -2.2818
Se -4.9185 -3.1221 2.4788
Se -2.3574 -0.5634 -1.0594
Se -2.7263 -5.0249 4.3802
Se -3.6192 -6.0985 1.2563
Se -1.4746 -7.9662 3.1593
Se -4.5019 1.3043 -2.9624
Se -3.2503 -1.6371 -4.1833

=====

Entry 11:
19
Lattice="-0.3439 7.6145 0.0425 -4.8289 -3.9993 -6.0798 -7.1895 -0.3559 5.5950" Properties=species:S:1:pos:R:3 comment="Pm12Zn2Ga5 GGA-PBE relaxed" final_energy_ev_per_cell=-78.67 e_form_ev_per_atom=-0.210 pbc="T T T"
Pm -5.9555 3.5709 -4.4328
Pm -9.4217 -2.5298 0.9461
Pm -9.6109 1.6595 0.9695
Pm -6.6775 -2.1327 -1.8174
Pm -6.8435 1.5423 -1.7969
Pm -9.7255 -0.4293 -1.7817
Pm -2.6368 3.6886 1.3393
Pm -5.6848 5.3920 1.3751
Pm -5.5188 1.7170 1.3546
Pm -2.9406 5.7891 -1.3885
Pm -2.7514 1.5998 -1.4119
Pm -6.4067 -0.3116 3.9905
Zn -0.2318 5.1324 0.0286
Zn -0.1121 2.4821 0.0139
Ga -7.5203 -0.3431 0.6212
Ga -4.5518 -0.1860 -3.5001
Ga -3.5948 -0.1780 2.7975
Ga -7.8105 3.4453 3.0577
Ga -4.8420 3.6024 -1.0636

=====

Entry 12:
5
Lattice="4.3615 0.0000 0.0000 0.0000 4.3615 0.0000 0.0000 0.0000 4.3615" Properties=species:S:1:pos:R:3 comment="TaB3O GGA-PBE relaxed" raw_formation_energy_ev_per_atom=2.196 final_energy_ev_per_cell=-25.86 relative_energy_ev_per_atom=1.310 pbc="T T T"
B 0.0000 2.1807 0.0000
B 0.0000 0.0000 2.1807
B 2.1807 0.0000 0.0000
O 2.1807 2.1807 2.1807
Ta 0.0000 0.0000 0.0000